# GdCdPdPt, optimized geometry, DFT PBE
# Total DFT energy (no corrections) in eV per atom: -7.335
# Energy of formation in eV per atom: -0.7776
data_GdCdPdPt
_space_group_name_H-M_alt 'F -4 3 m'
_space_group_IT_number 216
_space_group_name_Hall 'F -4 2 3'
_cell_length_a 6.828
_cell_length_b 6.828
_cell_length_c 6.828
_cell_angle_alpha 90.00
_cell_angle_beta 90.00
_cell_angle_gamma 90.00
loop_
_atom_site_label
_atom_site_type_symbol
_atom_site_fract_x
_atom_site_fract_y
_atom_site_fract_z
Gd1 Gd 0.000 0.000 0.000
Cd1 Cd 0.000 0.000 0.500
Pd1 Pd 0.250 0.250 0.750
Pt1 Pt 0.250 0.250 0.250

---

# GdPuCdPd, optimized geometry, DFT PBE
# Total DFT energy (no corrections) in eV per atom: -8.918
# Energy of formation in eV per atom: -0.2883
data_GdPuCdPd
_space_group_name_H-M_alt 'F -4 3 m'
_space_group_IT_number 216
_space_group_name_Hall 'F -4 2 3'
_cell_length_a 7.324
_cell_length_b 7.324
_cell_length_c 7.324
_cell_angle_alpha 90.00
_cell_angle_beta 90.00
_cell_angle_gamma 90.00
loop_
_atom_site_label
_atom_site_type_symbol
_atom_site_fract_x
_atom_site_fract_y
_atom_site_fract_z
Gd1 Gd 0.000 0.000 0.000
Pu1 Pu 0.000 0.000 0.500
Cd1 Cd 0.250 0.250 0.750
Pd1 Pd 0.250 0.250 0.250

---

# SmGdCdPd, optimized geometry, DFT PBE
# Total DFT energy (no corrections) in eV per atom: -6.742
# Energy of formation in eV per atom: -0.5151
data_SmGdCdPd
_space_group_name_H-M_alt 'F -4 3 m'
_space_group_IT_number 216
_space_group_name_Hall 'F -4 2 3'
_cell_length_a 7.354
_cell_length_b 7.354
_cell_length_c 7.354
_cell_angle_alpha 90.00
_cell_angle_beta 90.00
_cell_angle_gamma 90.00
loop_
_atom_site_label
_atom_site_type_symbol
_atom_site_fract_x
_atom_site_fract_y
_atom_site_fract_z
Sm1 Sm 0.000 0.000 0.000
Gd1 Gd 0.000 0.000 0.500
Cd1 Cd 0.250 0.250 0.250
Pd1 Pd 0.250 0.250 0.750

---

# GdCdSnPd, optimized geometry, DFT PBE
# Total DFT energy (no corrections) in eV per atom: -6.580
# Energy of formation in eV per atom: -0.5321
data_GdCdSnPd
_space_group_name_H-M_alt 'F -4 3 m'
_space_group_IT_number 216
_space_group_name_Hall 'F -4 2 3'
_cell_length_a 7.066
_cell_length_b 7.066
_cell_length_c 7.066
_cell_angle_alpha 90.00
_cell_angle_beta 90.00
_cell_angle_gamma 90.00
loop_
_atom_site_label
_atom_site_type_symbol
_atom_site_fract_x
_atom_site_fract_y
_atom_site_fract_z
Gd1 Gd 0.000 0.000 0.000
Cd1 Cd 0.250 0.250 0.750
Sn1 Sn 0.000 0.000 0.500
Pd1 Pd 0.250 0.250 0.250

---

# GdThCdPd, optimized geometry, DFT PBE
# Total DFT energy (no corrections) in eV per atom: -7.284
# Energy of formation in eV per atom: -0.3821
data_GdThCdPd
_space_group_name_H-M_alt 'F -4 3 m'
_space_group_IT_number 216
_space_group_name_Hall 'F -4 2 3'
_cell_length_a 7.409
_cell_length_b 7.409
_cell_length_c 7.409
_cell_angle_alpha 90.00
_cell_angle_beta 90.00
_cell_angle_gamma 90.00
loop_
_atom_site_label
_atom_site_type_symbol
_atom_site_fract_x
_atom_site_fract_y
_atom_site_fract_z
Gd1 Gd 0.000 0.000 0.000
Th1 Th 0.000 0.000 0.500
Cd1 Cd 0.250 0.250 0.250
Pd1 Pd 0.250 0.250 0.750

---

# GdYCdPd, optimized geometry, DFT PBE
# Total DFT energy (no corrections) in eV per atom: -7.206
# Energy of formation in eV per atom: -0.5428
data_GdYCdPd
_space_group_name_H-M_alt 'F -4 3 m'
_space_group_IT_number 216
_space_group_name_Hall 'F -4 2 3'
_cell_length_a 7.290
_cell_length_b 7.290
_cell_length_c 7.290
_cell_angle_alpha 90.00
_cell_angle_beta 90.00
_cell_angle_gamma 90.00
loop_
_atom_site_label
_atom_site_type_symbol
_atom_site_fract_x
_atom_site_fract_y
_atom_site_fract_z
Gd1 Gd 0.000 0.000 0.000
Y1 Y 0.000 0.000 0.500
Cd1 Cd 0.250 0.250 0.250
Pd1 Pd 0.250 0.250 0.750

---

# PmGdCd4, optimized geometry, DFT PBE
# Total DFT energy (no corrections) in eV per atom: -4.039
# Energy of formation in eV per atom: -0.2903
data_PmGdCd4
_space_group_name_H-M_alt 'F -4 3 m'
_space_group_IT_number 216
_space_group_name_Hall 'F -4 2 3'
_cell_length_a 8.431
_cell_length_b 8.431
_cell_length_c 8.431
_cell_angle_alpha 90.00
_cell_angle_beta 90.00
_cell_angle_gamma 90.00
loop_
_atom_site_label
_atom_site_type_symbol
_atom_site_fract_x
_atom_site_fract_y
_atom_site_fract_z
Pm1 Pm 0.000 0.000 0.000
Gd1 Gd 0.250 0.250 0.750
Cd1 Cd 0.125 0.125 0.375

---

# Pm2GdCd, optimized geometry, DFT PBE
# Energy relative to the lowest polymorph listed for this composition in meV per atom: 46
# Total DFT energy (no corrections) in eV per atom: -6.217
# Energy of formation in eV per atom: -0.0925
data_Pm2GdCd
_space_group_name_H-M_alt 'P 4/m m m'
_space_group_IT_number 123
_space_group_name_Hall '-P 4 2'
_cell_length_a 5.605
_cell_length_b 5.605
_cell_length_c 3.833
_cell_angle_alpha 90.00
_cell_angle_beta 90.00
_cell_angle_gamma 90.00
loop_
_atom_site_label
_atom_site_type_symbol
_atom_site_fract_x
_atom_site_fract_y
_atom_site_fract_z
Pm1 Pm 0.000 0.500 0.000
Gd1 Gd 0.000 0.000 0.500
Cd1 Cd 0.500 0.500 0.500

---

# Pm2GdCd, optimized geometry, DFT PBE
# Energy relative to the lowest polymorph listed for this composition in meV per atom: 295
# Total DFT energy (no corrections) in eV per atom: -5.969
# Energy of formation in eV per atom: 0.1556
data_Pm2GdCd
_space_group_name_H-M_alt 'R -3 m'
_space_group_IT_number 166
_space_group_name_Hall '-R 3 2"'
_cell_length_a 3.5154
_cell_length_b 3.5154
_cell_length_c 37.1378
_cell_angle_alpha 90.00
_cell_angle_beta 90.00
_cell_angle_gamma 120.00
loop_
_atom_site_label
_atom_site_type_symbol
_atom_site_fract_x
_atom_site_fract_y
_atom_site_fract_z
Pm1 Pm 0.0000 0.0000 0.0886
Gd1 Gd 0.0000 0.0000 0.5000
Cd1 Cd 0.0000 0.0000 0.0000

---

# Pm2GdCd, optimized geometry, DFT PBE
# Energy relative to the lowest polymorph listed for this composition in meV per atom: 91
# Total DFT energy (no corrections) in eV per atom: -6.173
# Energy of formation in eV per atom: -0.0482
data_Pm2GdCd
_space_group_name_H-M_alt 'F m -3 m'
_space_group_IT_number 225
_space_group_name_Hall '-F 4 2 3'
_cell_length_a 7.835
_cell_length_b 7.835
_cell_length_c 7.835
_cell_angle_alpha 90.00
_cell_angle_beta 90.00
_cell_angle_gamma 90.00
loop_
_atom_site_label
_atom_site_type_symbol
_atom_site_fract_x
_atom_site_fract_y
_atom_site_fract_z
Pm1 Pm 0.250 0.250 0.250
Gd1 Gd 0.000 0.000 0.000
Cd1 Cd 0.000 0.000 0.500

---

# Pm2GdCd, optimized geometry, DFT PBE
# Energy relative to the lowest polymorph listed for this composition in meV per atom: 0
# Total DFT energy (no corrections) in eV per atom: -6.263
# Energy of formation in eV per atom: -0.1389
data_Pm2GdCd
_space_group_name_H-M_alt 'P 4/m m m'
_space_group_IT_number 123
_space_group_name_Hall '-P 4 2'
_cell_length_a 3.711
_cell_length_b 3.711
_cell_length_c 8.963
_cell_angle_alpha 90.00
_cell_angle_beta 90.00
_cell_angle_gamma 90.00
loop_
_atom_site_label
_atom_site_type_symbol
_atom_site_fract_x
_atom_site_fract_y
_atom_site_fract_z
Pm1 Pm 0.000 0.000 0.225
Gd1 Gd 0.500 0.500 0.500
Cd1 Cd 0.500 0.500 0.000

---

# PmGdCdPt, optimized geometry, DFT PBE
# Total DFT energy (no corrections) in eV per atom: -7.119
# Energy of formation in eV per atom: -0.6717
data_PmGdCdPt
_space_group_name_H-M_alt 'F -4 3 m'
_space_group_IT_number 216
_space_group_name_Hall 'F -4 2 3'
_cell_length_a 7.330
_cell_length_b 7.330
_cell_length_c 7.330
_cell_angle_alpha 90.00
_cell_angle_beta 90.00
_cell_angle_gamma 90.00
loop_
_atom_site_label
_atom_site_type_symbol
_atom_site_fract_x
_atom_site_fract_y
_atom_site_fract_z
Pm1 Pm 0.000 0.000 0.000
Gd1 Gd 0.000 0.000 0.500
Cd1 Cd 0.250 0.250 0.250
Pt1 Pt 0.250 0.250 0.750

---

# PmGdPuCd, optimized geometry, DFT PBE
# Total DFT energy (no corrections) in eV per atom: -8.462
# Energy of formation in eV per atom: 0.0581
data_PmGdPuCd
_space_group_name_H-M_alt 'F -4 3 m'
_space_group_IT_number 216
_space_group_name_Hall 'F -4 2 3'
_cell_length_a 7.744
_cell_length_b 7.744
_cell_length_c 7.744
_cell_angle_alpha 90.00
_cell_angle_beta 90.00
_cell_angle_gamma 90.00
loop_
_atom_site_label
_atom_site_type_symbol
_atom_site_fract_x
_atom_site_fract_y
_atom_site_fract_z
Pm1 Pm 0.000 0.000 0.000
Gd1 Gd 0.000 0.000 0.500
Pu1 Pu 0.250 0.250 0.250
Cd1 Cd 0.250 0.250 0.750

---

# PmGdCdRh, optimized geometry, DFT PBE
# Total DFT energy (no corrections) in eV per atom: -7.244
# Energy of formation in eV per atom: -0.4694
data_PmGdCdRh
_space_group_name_H-M_alt 'F -4 3 m'
_space_group_IT_number 216
_space_group_name_Hall 'F -4 2 3'
_cell_length_a 7.281
_cell_length_b 7.281
_cell_length_c 7.281
_cell_angle_alpha 90.00
_cell_angle_beta 90.00
_cell_angle_gamma 90.00
loop_
_atom_site_label
_atom_site_type_symbol
_atom_site_fract_x
_atom_site_fract_y
_atom_site_fract_z
Pm1 Pm 0.000 0.000 0.000
Gd1 Gd 0.000 0.000 0.500
Cd1 Cd 0.250 0.250 0.250
Rh1 Rh 0.250 0.250 0.750

---

# PmGdCdSb, optimized geometry, DFT PBE
# Total DFT energy (no corrections) in eV per atom: -6.542
# Formation energy without anion corrections in eV/f.u.: -2.3
data_PmGdCdSb
_space_group_name_H-M_alt 'F -4 3 m'
_space_group_IT_number 216
_space_group_name_Hall 'F -4 2 3'
_cell_length_a 7.623
_cell_length_b 7.623
_cell_length_c 7.623
_cell_angle_alpha 90.00
_cell_angle_beta 90.00
_cell_angle_gamma 90.00
loop_
_atom_site_label
_atom_site_type_symbol
_atom_site_fract_x
_atom_site_fract_y
_atom_site_fract_z
Pm1 Pm 0.000 0.000 0.000
Gd1 Gd 0.000 0.000 0.500
Cd1 Cd 0.250 0.250 0.750
Sb1 Sb 0.250 0.250 0.250